1.
! SrSmGa4 | Alexandria | PBE-GGA | relaxed; values from VASP
! Formation energy = -542 meV per atom
! N(E_F) = 4.06 states/eV/f.u.
! SG = I-4m2
! Magnetic moment = 0.00 Bohr magnetons per cell
! Energy relative to the lowest polymorph listed for this composition = 0 meV/atom
! Electronic total energy = -3.6264 eV per atom
! Crystal system = tetragonal
&SYSTEM
  ibrav = 0, nat = 6, ntyp = 3
/
ATOMIC_SPECIES
Sr 87.62 Sr.upf
Sm 150.36 Sm.upf
Ga 69.72 Ga.upf
CELL_PARAMETERS angstrom
-2.1608 2.1608 7.6151
2.1608 -2.1608 7.6151
2.1608 2.1608 -7.6151
ATOMIC_POSITIONS crystal
Sr 0.0000 0.0000 0.0000
Sm 0.7500 0.2500 0.5000
Ga 0.1693 0.6693 0.5000
Ga 0.3307 0.8307 0.5000
Ga 0.4147 0.4147 0.0000
Ga 0.5853 0.5853 0.0000


2.
! Sm5ErAg4 | Alexandria | PBE-GGA | relaxed; values from VASP
! Formation energy = -211 meV per atom
! N(E_F) = 9.14 states/eV/f.u.
! SG = P4/mmm
! Magnetic moment = 0.00 Bohr magnetons per cell
! Electronic total energy = -4.1676 eV per atom
! Crystal system = tetragonal
&SYSTEM
  ibrav = 0, nat = 10, ntyp = 3
/
ATOMIC_SPECIES
Sm 150.36 Sm.upf
Er 167.26 Er.upf
Ag 107.87 Ag.upf
CELL_PARAMETERS angstrom
3.6760 0.0000 0.0000
0.0000 3.6760 0.0000
0.0000 0.0000 19.9757
ATOMIC_POSITIONS crystal
Sm 0.0000 0.0000 0.0000
Sm 0.0000 0.0000 0.1892
Sm 0.0000 0.0000 0.3772
Sm 0.0000 0.0000 0.6228
Sm 0.0000 0.0000 0.8108
Er 0.5000 0.5000 0.5000
Ag 0.5000 0.5000 0.0940
Ag 0.5000 0.5000 0.2838
Ag 0.5000 0.5000 0.7162
Ag 0.5000 0.5000 0.9060


3.
! Pm3Y4Ho4 | Alexandria | PBE-GGA | relaxed; values from VASP
! Formation energy = 56 meV per atom
! N(E_F) = 17.46 states/eV/f.u.
! SG = P-1
! Magnetic moment = 0.00 Bohr magnetons per cell
! Energy relative to the lowest polymorph listed for this composition = 0 meV/atom
! Electronic total energy = -5.2549 eV per atom
! Crystal system = triclinic
&SYSTEM
  ibrav = 0, nat = 11, ntyp = 3
/
ATOMIC_SPECIES
Pm 145.00 Pm.upf
Y 88.91 Y.upf
Ho 164.93 Ho.upf
CELL_PARAMETERS angstrom
3.4960 0.0000 0.0000
-0.0003 5.6743 0.0000
-1.7447 -2.8328 17.9684
ATOMIC_POSITIONS crystal
Pm 0.0000 0.0000 0.0000
Pm 0.1364 0.6373 0.2735
Pm 0.8636 0.3627 0.7265
Y 0.2666 0.2667 0.5336
Y 0.4090 0.9085 0.8186
Y 0.5910 0.0915 0.1814
Y 0.7335 0.7333 0.4664
Ho 0.3193 0.8184 0.6377
Ho 0.4552 0.4539 0.9090
Ho 0.5448 0.5461 0.0910
Ho 0.6807 0.1816 0.3623


4.
! Er2HCl3 | Alexandria | PBE-GGA | relaxed; values from VASP
! N(E_F) = 1.89 states/eV/f.u.
! SG = C2/m
! Magnetic moment = 1.90 Bohr magnetons per cell
! Electronic total energy = -4.6210 eV per atom
! Crystal system = monoclinic
&SYSTEM
  ibrav = 0, nat = 12, ntyp = 3
/
ATOMIC_SPECIES
Er 167.26 Er.upf
H 1.01 H.upf
Cl 35.45 Cl.upf
CELL_PARAMETERS angstrom
8.3102 -1.8423 0.0000
8.3102 1.8423 0.0000
-5.4578 0.0000 9.0695
ATOMIC_POSITIONS crystal
Er 0.0793 0.0793 0.4601
Er 0.3589 0.3589 0.1992
Er 0.6411 0.6411 0.8008
Er 0.9207 0.9207 0.5399
H 0.0790 0.0790 0.6679
H 0.9210 0.9210 0.3321
Cl 0.1653 0.1653 0.0101
Cl 0.2868 0.2868 0.3833
Cl 0.4626 0.4626 0.7528
Cl 0.5374 0.5374 0.2472
Cl 0.7132 0.7132 0.6167
Cl 0.8347 0.8347 0.9899


5.
! Cs3Ag2Hg4 | Alexandria | PBE-GGA | relaxed; values from VASP
! Formation energy = -147 meV per atom
! N(E_F) = 4.04 states/eV/f.u.
! SG = C2/m
! Magnetic moment = 0.00 Bohr magnetons per cell
! Electronic total energy = -1.1996 eV per atom
! Crystal system = monoclinic
&SYSTEM
  ibrav = 0, nat = 9, ntyp = 3
/
ATOMIC_SPECIES
Cs 132.91 Cs.upf
Ag 107.87 Ag.upf
Hg 200.59 Hg.upf
CELL_PARAMETERS angstrom
6.6371 -2.6741 0.0000
6.6371 2.6741 0.0000
-3.4673 0.0000 9.8041
ATOMIC_POSITIONS crystal
Cs 0.0000 0.0000 0.0000
Cs 0.3777 0.3777 0.3194
Cs 0.6223 0.6223 0.6806
Ag 0.3304 0.3304 0.6732
Ag 0.6696 0.6696 0.3268
Hg 0.1238 0.1238 0.4149
Hg 0.2773 0.2773 0.9258
Hg 0.7227 0.7227 0.0742
Hg 0.8762 0.8762 0.5851


6.
! MgIn5Se8 | Alexandria | PBE-GGA | relaxed; values from VASP
! N(E_F) = 3.50 states/eV/f.u.
! SG = F-43m
! ΔE_f (raw) = -13.6 kcal/mol of atoms
! Magnetic moment = 0.00 Bohr magnetons per cell
! Electronic total energy = -3.6738 eV per atom
! Crystal system = cubic
&SYSTEM
  ibrav = 0, nat = 14, ntyp = 3
/
ATOMIC_SPECIES
Mg 24.30 Mg.upf
In 114.82 In.upf
Se 78.96 Se.upf
CELL_PARAMETERS angstrom
0.0000 5.7862 5.7862
5.7862 0.0000 5.7862
5.7862 5.7862 0.0000
ATOMIC_POSITIONS crystal
Mg 0.0000 0.0000 0.0000
In 0.1178 0.6274 0.6274
In 0.2500 0.2500 0.2500
In 0.6274 0.1178 0.6274
In 0.6274 0.6274 0.1178
In 0.6274 0.6274 0.6274
Se 0.3844 0.3844 0.3844
Se 0.3844 0.3844 0.8469
Se 0.3844 0.8469 0.3844
Se 0.3945 0.8685 0.8685
Se 0.8469 0.3844 0.3844
Se 0.8685 0.3945 0.8685
Se 0.8685 0.8685 0.3945
Se 0.8685 0.8685 0.8685


7.
! NaFe2CuCl6 | Alexandria | PBE-GGA | relaxed; values from VASP
! N(E_F) = 9.95 states/eV/f.u.
! SG = R3
! ΔE_f (raw) = -18.0 kcal/mol of atoms
! Magnetic moment = 8.00 Bohr magnetons per cell
! Electronic total energy = -4.1242 eV per atom
! Crystal system = trigonal
&SYSTEM
  ibrav = 0, nat = 10, ntyp = 4
/
ATOMIC_SPECIES
Na 22.99 Na.upf
Fe 55.84 Fe.upf
Cu 63.55 Cu.upf
Cl 35.45 Cl.upf
CELL_PARAMETERS angstrom
3.2158 1.8566 5.8186
-3.2158 1.8566 5.8186
0.0000 -3.7132 5.8186
ATOMIC_POSITIONS crystal
Na 0.0000 0.0000 0.0000
Fe 0.2034 0.2034 0.2034
Fe 0.6916 0.6916 0.6916
Cu 0.4443 0.4443 0.4443
Cl 0.0889 0.4445 0.7989
Cl 0.3272 0.9376 0.5630
Cl 0.4445 0.7989 0.0889
Cl 0.5630 0.3272 0.9376
Cl 0.7989 0.0889 0.4445
Cl 0.9376 0.5630 0.3272


8.
! KLi4Tl3F12 | Alexandria | PBE-GGA | relaxed; values from VASP
! N(E_F) = 4.05 states/eV/f.u.
! SG = R32
! ΔE_f (raw) = -52.8 kcal/mol of atoms
! Magnetic moment = 0.00 Bohr magnetons per cell
! Electronic total energy = -4.2043 eV per atom
! Crystal system = trigonal
&SYSTEM
  ibrav = 0, nat = 20, ntyp = 4
/
ATOMIC_SPECIES
K 39.10 K.upf
Li 6.94 Li.upf
Tl 204.38 Tl.upf
F 19.00 F.upf
CELL_PARAMETERS angstrom
5.9365 3.4275 2.8206
-5.9365 3.4275 2.8206
0.0000 -6.8549 2.8206
ATOMIC_POSITIONS crystal
K 0.0000 0.0000 0.0000
Li 0.0515 0.5000 0.9485
Li 0.5000 0.5000 0.5000
Li 0.5000 0.9485 0.0515
Li 0.9485 0.0515 0.5000
Tl 0.0000 0.5468 0.4532
Tl 0.4532 0.0000 0.5468
Tl 0.5468 0.4532 0.0000
F 0.0328 0.6433 0.7838
F 0.1050 0.8950 0.5000
F 0.2162 0.3567 0.9672
F 0.3460 0.6540 0.5000
F 0.3567 0.9672 0.2162
F 0.5000 0.1050 0.8950
F 0.5000 0.3460 0.6540
F 0.6433 0.7838 0.0328
F 0.6540 0.5000 0.3460
F 0.7838 0.0328 0.6433
F 0.8950 0.5000 0.1050
F 0.9672 0.2162 0.3567